[1]
Here is Fe2Cu3Pt2 after structural relaxation from the Alexandria database. Energies are from PBE.

Computed properties:
raw total energy: -5.997 eV per atom
size of the total moment: 6.5 Bohr magnetons per cell
volume: 13.2 Å³ per atom
space group: C2/m (12)

Cell lengths 4.5741, 4.5741, 6.0409 Å; angles 97.10, 97.10, 47.60 degrees
With the nearest neighbours (Å) after each atom.
Fractional coordinates of all 7 atoms:
Fe  0.1461  0.1461  0.4249  5 Pt 2.61-2.68, 3 Fe 2.61-2.72, 4 Cu 2.64-2.75
Fe  0.8540  0.8540  0.5751  5 Pt 2.61-2.68, 3 Fe 2.61-2.72, 4 Cu 2.64-2.75
Cu  0.0000  0.0000  0.0000  6 Cu 2.62-2.66, 4 Pt 2.64, 2 Fe 2.69
Cu  0.2885  0.2885  0.8618  5 Cu 2.62-2.66, 3 Fe 2.64-2.75, 4 Pt 2.64-2.65
Cu  0.7115  0.7115  0.1382  5 Cu 2.62-2.66, 3 Fe 2.64-2.75, 4 Pt 2.64-2.65
Pt  0.4265  0.4265  0.2832  5 Fe 2.61-2.68, 6 Cu 2.64-2.65, 1 Pt 2.74
Pt  0.5735  0.5735  0.7168  5 Fe 2.61-2.68, 6 Cu 2.64-2.65, 1 Pt 2.74

***

[2]
Here is BiPIO2 after structural relaxation from the Alexandria database. Energies are from PBE.

Computed properties:
raw total energy: -4.060 eV per atom
formation energy from raw total energies: 0.09 eV/atom
size of the total moment: 0.0 Bohr magnetons per cell
distance to the lowest polymorph of the same formula: 87 meV per atom
volume: 18.7 Å³ per atom
space group: P4/mmm (123)

Cell lengths 4.0813, 4.0813, 5.6054 Å; angles 90.00, 90.00, 90.00 degrees
With the nearest neighbours (Å) after each atom.
Fractional coordinates of all 5 atoms:
Bi  0.0000  0.0000  0.0000  2 P 2.80, 4 I 2.89
P  0.0000  0.0000  0.5000  4 O 2.04
I  0.5000  0.5000  0.0000  4 Bi 2.89
O  0.0000  0.5000  0.5000  2 P 2.04
O  0.5000  0.0000  0.5000  2 P 2.04

***

[3]
Here is GeAs2RhBr after structural relaxation from the Alexandria database. Energies are from PBE.

Computed properties:
raw total energy: -3.536 eV per atom
formation energy from raw total energies: 1.05 eV/atom
size of the total moment: 0.7 Bohr magnetons per cell
distance to the lowest polymorph of the same formula: 585 meV per atom
volume: 24.2 Å³ per atom
space group: P4/mmm (123)

Cell lengths 4.9022, 4.9022, 5.0309 Å; angles 90.00, 90.00, 90.00 degrees
With the nearest neighbours (Å) after each atom.
Fractional coordinates of all 5 atoms:
Ge  0.0000  0.0000  0.0000  4 As 2.45, 2 Br 2.52
As  0.0000  0.5000  0.0000  2 Ge 2.45
As  0.5000  0.0000  0.0000  2 Ge 2.45
Rh  0.5000  0.5000  0.5000  4 Br 3.47, 8 As 3.51
Br  0.0000  0.0000  0.5000  2 Ge 2.52

***

[4]
Here is TbEr5Zn6 after structural relaxation from the Alexandria database. Energies are from PBE.

Computed properties:
raw total energy: -3.270 eV per atom
size of the total moment: 0.0 Bohr magnetons per cell
volume: 22.3 Å³ per atom
space group: Cmmm (65)

Cell lengths 7.9219, 7.9219, 7.1088 Å; angles 90.00, 90.00, 143.16 degrees
With the nearest neighbours (Å) after each atom.
Fractional coordinates of all 12 atoms:
Tb  0.0000  0.0000  0.0000  8 Zn 3.08-3.09
Er  0.0000  0.0000  0.5000  8 Zn 3.06-3.07
Er  0.3326  0.6674  0.0000  8 Zn 3.06-3.09
Er  0.3342  0.6658  0.5000  8 Zn 3.05-3.06
Er  0.6658  0.3342  0.5000  8 Zn 3.05-3.06
Er  0.6674  0.3326  0.0000  8 Zn 3.06-3.09
Zn  0.1677  0.8323  0.2524  7 Er 3.06-3.08, 1 Tb 3.09
Zn  0.1677  0.8323  0.7476  7 Er 3.06-3.08, 1 Tb 3.09
Zn  0.5000  0.5000  0.2521  6 Er 3.05-3.09, 2 Tb 3.08
Zn  0.5000  0.5000  0.7479  6 Er 3.05-3.09, 2 Tb 3.08
Zn  0.8323  0.1677  0.2524  7 Er 3.06-3.08, 1 Tb 3.09
Zn  0.8323  0.1677  0.7476  7 Er 3.06-3.08, 1 Tb 3.09

***

[5]
Here is FeHg2Pt after structural relaxation from the Alexandria database. Energies are from PBE.

Computed properties:
raw total energy: -3.454 eV per atom
size of the total moment: 3.1 Bohr magnetons per cell
volume: 18.1 Å³ per atom
space group: Pmmm (47)

Cell lengths 3.0215, 4.7851, 5.0007 Å; angles 90.00, 90.00, 90.00 degrees
With the nearest neighbours (Å) after each atom.
Fractional coordinates of all 4 atoms:
Fe  0.0000  0.0000  0.0000  4 Hg 2.83, 4 Pt 2.92, 2 Fe 3.02
Hg  0.0000  0.5000  0.5000  4 Pt 2.83, 6 Hg 2.92-3.02
Hg  0.5000  0.5000  0.0000  4 Fe 2.83, 6 Hg 2.92-3.02
Pt  0.5000  0.0000  0.5000  4 Hg 2.83, 4 Fe 2.92, 2 Pt 3.02

***

[6]
Here is Mn8Mo3Os after structural relaxation from the Alexandria database. Energies are from PBE.

Computed properties:
raw total energy: -9.838 eV per atom
size of the total moment: 0.0 Bohr magnetons per cell
volume: 12.2 Å³ per atom
space group: P3m1 (156)

Cell lengths 4.6846, 4.6846, 7.7250 Å; angles 90.00, 90.00, 120.00 degrees
With the nearest neighbours (Å) after each atom.
Fractional coordinates of all 12 atoms:
Mn  0.0000  0.0000  0.0000  6 Mn 2.38
Mn  0.0000  0.0000  0.5002  6 Mn 2.39
Mn  0.1725  0.3451  0.2493  6 Mn 2.26-2.42
Mn  0.1725  0.8275  0.2493  6 Mn 2.26-2.42
Mn  0.3453  0.1727  0.7513  6 Mn 2.26-2.43
Mn  0.6549  0.8275  0.2493  6 Mn 2.26-2.42
Mn  0.8273  0.1727  0.7513  6 Mn 2.26-2.43
Mn  0.8273  0.6547  0.7513  6 Mn 2.26-2.43
Mo  0.3333  0.6667  0.5659  12 Mn 2.75-2.77, 4 Mo 2.88-2.90
Mo  0.3333  0.6667  0.9383  12 Mn 2.73-2.75, 1 Mo 2.88, 3 Os 2.89
Mo  0.6667  0.3333  0.4310  12 Mn 2.73-2.80, 1 Os 2.80, 3 Mo 2.90
Os  0.6667  0.3333  0.0690  12 Mn 2.73-2.78, 4 Mo 2.80-2.89

***

[7]
Here is Na2CO2F2 after structural relaxation from the Alexandria database. Energies are from PBE.

Computed properties:
raw total energy: -5.678 eV per atom
formation energy from raw total energies: -2.03 eV/atom
size of the total moment: 0.2 Bohr magnetons per cell
volume: 14.4 Å³ per atom
space group: P-1 (2)

Cell lengths 3.7000, 4.5746, 6.2060 Å; angles 79.20, 77.39, 86.87 degrees
With the nearest neighbours (Å) after each atom.
Fractional coordinates of all 7 atoms:
Na  0.2122  0.2256  0.1027  4 F 2.26-2.31
Na  0.7878  0.7744  0.8973  4 F 2.26-2.31
C  0.5000  0.5000  0.5000  2 O 1.17
O  0.3889  0.7050  0.5856  1 C 1.17
O  0.6111  0.2950  0.4144  1 C 1.17
F  0.2107  0.7262  0.1161  4 Na 2.26-2.31
F  0.7893  0.2738  0.8839  4 Na 2.26-2.31

***

[8]
Here is TmPuSc5 after structural relaxation from the Alexandria database. Energies are from PBE.

Computed properties:
raw total energy: -6.981 eV per atom
size of the total moment: 12.6 Bohr magnetons per cell
volume: 26.6 Å³ per atom
space group: Imma (74)

Cell lengths 8.2024, 8.2024, 8.2024 Å; angles 132.54, 97.77, 100.87 degrees
With the nearest neighbours (Å) after each atom.
Fractional coordinates of all 14 atoms:
Tm  0.3032  0.0532  0.2500  8 Sc 3.20-3.30, 2 Pu 3.57
Tm  0.6968  0.9468  0.7500  8 Sc 3.20-3.30, 2 Pu 3.57
Pu  0.0000  0.0000  0.5000  2 Pu 3.30, 6 Sc 3.32-3.43, 2 Tm 3.57
Pu  0.0000  0.5000  0.0000  2 Pu 3.30, 6 Sc 3.32-3.43, 2 Tm 3.57
Sc  0.0000  0.2483  0.2483  8 Sc 3.07-3.32, 2 Tm 3.20
Sc  0.0000  0.7517  0.7517  8 Sc 3.07-3.32, 2 Tm 3.20
Sc  0.2633  0.7464  0.5170  7 Sc 3.07-3.32, 1 Tm 3.27, 2 Pu 3.32
Sc  0.2706  0.2536  0.0170  7 Sc 3.07-3.32, 1 Tm 3.27, 2 Pu 3.32
Sc  0.2881  0.5381  0.7500  6 Sc 3.19-3.32, 2 Tm 3.30, 2 Pu 3.43
Sc  0.5000  0.2483  0.7483  8 Sc 3.07-3.32, 2 Tm 3.20
Sc  0.5000  0.7517  0.2517  8 Sc 3.07-3.32, 2 Tm 3.20
Sc  0.7119  0.4619  0.2500  6 Sc 3.19-3.32, 2 Tm 3.30, 2 Pu 3.43
Sc  0.7294  0.7464  0.9830  7 Sc 3.07-3.32, 1 Tm 3.27, 2 Pu 3.32
Sc  0.7367  0.2536  0.4830  7 Sc 3.07-3.32, 1 Tm 3.27, 2 Pu 3.32

***

[9]
Here is Cs2CuPAu after structural relaxation from the Alexandria database. Energies are from PBE.

Computed properties:
raw total energy: -2.996 eV per atom
size of the total moment: 0.3 Bohr magnetons per cell
volume: 39.8 Å³ per atom
space group: P4/mmm (123)

Cell lengths 6.8703, 6.8703, 4.2129 Å; angles 90.00, 90.00, 90.00 degrees
With the nearest neighbours (Å) after each atom.
Fractional coordinates of all 5 atoms:
Cs  0.0000  0.5000  0.0000  2 Cu 3.44
Cs  0.5000  0.0000  0.0000  2 Cu 3.44
Cu  0.0000  0.0000  0.0000  2 P 2.11
P  0.0000  0.0000  0.5000  2 Cu 2.11
Au  0.5000  0.5000  0.5000  8 Cs 4.03, 2 Au 4.21

***

[10]
Here is Na2In4Pb after structural relaxation from the Alexandria database. Energies are from PBE.

Computed properties:
raw total energy: -2.360 eV per atom
size of the total moment: 0.0 Bohr magnetons per cell
distance to the lowest polymorph of the same formula: 0 meV per atom
volume: 31.7 Å³ per atom
space group: I4/mmm (139)

Cell lengths 7.3661, 7.3661, 7.3661 Å; angles 131.10, 131.10, 71.65 degrees
With the nearest neighbours (Å) after each atom.
Fractional coordinates of all 7 atoms:
Na  0.1475  0.1475  0.0000  8 In 3.29-3.52, 1 Na 3.52
Na  0.8525  0.8525  0.0000  8 In 3.29-3.52, 1 Na 3.52
In  0.0000  0.5000  0.5000  2 In 2.99, 2 Pb 3.05
In  0.2500  0.7500  0.5000  2 In 2.99, 4 Na 3.29
In  0.5000  0.0000  0.5000  2 In 2.99, 2 Pb 3.05
In  0.7500  0.2500  0.5000  2 In 2.99, 4 Na 3.29
Pb  0.5000  0.5000  0.0000  4 In 3.05

***

[11]
Here is B2C after structural relaxation from the Alexandria database. Energies are from PBE.

Computed properties:
raw total energy: -7.112 eV per atom
size of the total moment: 0.0 Bohr magnetons per cell
distance to the lowest polymorph of the same formula: 229 meV per atom
volume: 6.7 Å³ per atom
space group: Pm (6)

Cell lengths 5.0285, 2.6668, 6.1975 Å; angles 90.00, 103.21, 90.00 degrees
With the nearest neighbours (Å) after each atom.
Fractional coordinates of all 12 atoms:
B  0.0000  0.0000  0.0000  1 C 1.55
B  0.0620  0.0000  0.2895  5 B 1.75-1.85
B  0.2266  0.5000  0.9427  2 C 1.66-1.81, 2 B 1.84
B  0.3067  0.0000  0.5627  2 C 1.67, 2 B 1.73-1.85
B  0.4254  0.0000  0.3211  2 C 1.62, 2 B 1.73-1.79
B  0.6068  0.5000  0.9673  3 C 1.56-1.64
B  0.6949  0.0000  0.6122  3 C 1.62-1.69
B  0.8274  0.5000  0.2944  2 C 1.62-1.66, 2 B 1.79
C  0.1852  0.5000  0.6694  1 C 1.53, 3 B 1.66-1.67
C  0.4926  0.5000  0.1940  5 B 1.62-1.81
C  0.6968  0.0000  0.8735  4 B 1.55-1.62
C  0.8781  0.5000  0.5626  1 C 1.53, 3 B 1.62-1.69

***

[12]
Here is DyTh4P5 after structural relaxation from the Alexandria database. Energies are from PBE.

Computed properties:
raw total energy: -7.693 eV per atom
size of the total moment: 0.0 Bohr magnetons per cell
volume: 24.7 Å³ per atom
space group: I4/m (87)

Cell lengths 7.1323, 7.1323, 7.1323 Å; angles 99.62, 99.62, 131.75 degrees
With the nearest neighbours (Å) after each atom.
Fractional coordinates of all 10 atoms:
Dy  0.0000  0.0000  0.0000  6 P 2.87-2.92
Th  0.2001  0.5997  0.7998  6 P 2.91-2.95
Th  0.4003  0.2001  0.6005  6 P 2.91-2.95
Th  0.5997  0.7999  0.3995  6 P 2.91-2.95
Th  0.7999  0.4003  0.2002  6 P 2.91-2.95
P  0.0989  0.2959  0.3949  1 Dy 2.87, 5 Th 2.91-2.95
P  0.2959  0.9011  0.1970  1 Dy 2.87, 5 Th 2.91-2.95
P  0.5000  0.5000  0.0000  4 Th 2.91, 2 Dy 2.92
P  0.7041  0.0989  0.8030  1 Dy 2.87, 5 Th 2.91-2.95
P  0.9011  0.7041  0.6051  1 Dy 2.87, 5 Th 2.91-2.95

***

The following density of states at the Fermi level values (in states/eV per cell) correspond, in order, to the records above: 4.975 3.826 4.907 13.468 2.384 8.877 0.000 30.516 2.489 3.375 2.625 5.183.